ScCoCO after structural relaxation. Source: the Open Quantum Materials Database, functional GGA+U.

- Calculated volume: 10.9 Å³/atom
- Calculated total energy: -7.422 eV per atom

Unit cell a=10.6036 b=10.6036 c=10.6036 alpha=16.85 beta=16.85 gamma=16.85
Closest atoms and distances in Å follow each position.
Element x y z (fractional)
Sc 0.0000 0.0000 0.0000  6 O 2.09
Sc 0.5000 0.5000 0.5000  6 C 2.34
Co 0.2370 0.2370 0.2370  3 C 1.93, 1 O 1.94
Co 0.7630 0.7630 0.7630  3 C 1.93, 1 O 1.94
C 0.1188 0.1188 0.1188  3 Co 1.93
C 0.8812 0.8812 0.8812  3 Co 1.93
O 0.2989 0.2989 0.2989  1 Co 1.94, 3 Sc 2.09
O 0.7011 0.7011 0.7011  1 Co 1.94, 3 Sc 2.09